This record from Alexandria describes crystalline BeGeBBr2 at its relaxed geometry. The functional is PBE.

Lattice parameters (Å, degrees): 4.889 4.889 4.512 90.00 90.00 90.00
Fractional coordinates of all 5 atoms:
1 Be 0.000 0.000 0.000
2 Ge 0.000 0.000 0.500
3 B 0.500 0.500 0.500
4 Br 0.000 0.500 0.000
5 Br 0.500 0.000 0.000

Results
uncorrected formation energy = 1.0379 eV/atom
N(E_F) = 3.6 states/eV per cell
VASP energy = -13.2 eV for the cell shown